Density functional theory data (PBE) for crystalline Ga3PdAu at its relaxed geometry.

a b c (Å): 5.045 8.979 8.980
angles (deg): 64.43 86.64 86.71
Space group P-1 (No. 2)
Unique sites:
Ga (0.001, 0.151, 0.349) [2 per cell]
Ga (0.118, 0.335, 0.836) [2 per cell]
Ga (0.199, 0.810, 0.310) [2 per cell]
Ga (0.215, 0.960, 0.916) [2 per cell]
Ga (0.216, 0.416, 0.460) [2 per cell]
Ga (0.497, 0.689, 0.812) [2 per cell]
Pd (0.279, 0.613, 0.610) [2 per cell]
Pd (0.280, 0.109, 0.113) [2 per cell]
Au (0.369, 0.090, 0.590) [2 per cell]
Au (0.382, 0.626, 0.128) [2 per cell]

Summary:
- ΔE_f: -0.303 eV per atom
- Distance to the lowest polymorph of the same formula: 48 meV per atom
- DOS(E_F): 0.31 states/eV per atom
- E: -3.813 eV/atom